Entry 1:
A relaxed structure of LiPt2Au. Source: the Alexandria database, functional GGA-PBE.

Geometry as CIF:
```
data_LiPt2Au
_chemical_formula_sum 'Li3 Pt6 Au3'
_cell_length_a 2.7993
_cell_length_b 2.7993
_cell_length_c 27.3853
_cell_angle_alpha 90.00
_cell_angle_beta 90.00
_cell_angle_gamma 120.00
_space_group_name_H-M_alt 'R -3 m'
_space_group_IT_number 166
_space_group_name_Hall '-R 3 2"'
loop_
_atom_site_label
_atom_site_fract_x
_atom_site_fract_y
_atom_site_fract_z
_atom_site_occupancy
Li1 0.0000 0.0000 0.0000 1
Pt1 0.0000 0.0000 0.2561 1
Au1 0.0000 0.0000 0.5000 1
```

=====

Entry 2:
A relaxed structure of Li8Pt2Au. Source: the Alexandria database, functional GGA-PBE.

Geometry as CIF:
```
data_Li8Pt2Au
_chemical_formula_sum 'Li16 Pt4 Au2'
_cell_length_a 7.8729
_cell_length_b 10.5273
_cell_length_c 4.2517
_cell_angle_alpha 90.00
_cell_angle_beta 90.00
_cell_angle_gamma 90.00
_space_group_name_H-M_alt 'C m m m'
_space_group_IT_number 65
_space_group_name_Hall '-C 2 2'
loop_
_atom_site_label
_atom_site_fract_x
_atom_site_fract_y
_atom_site_fract_z
_atom_site_occupancy
Li1 0.0000 0.2480 0.0000 1
Li2 0.1589 0.0000 0.0000 1
Li3 0.1714 0.3623 0.5000 1
Pt1 0.0000 0.1252 0.5000 1
Au1 0.0000 0.5000 0.0000 1
```

=====

Entry 3:
A relaxed structure of LiPtAu2. Source: the Alexandria database, functional GGA-PBE.

Geometry as CIF:
```
data_LiPtAu2
_chemical_formula_sum 'Li1 Pt1 Au2'
_cell_length_a 2.8216
_cell_length_b 2.8216
_cell_length_c 8.0308
_cell_angle_alpha 90.00
_cell_angle_beta 90.00
_cell_angle_gamma 90.00
_space_group_name_H-M_alt 'P 4 m m'
_space_group_IT_number 99
_space_group_name_Hall 'P 4 -2'
loop_
_atom_site_label
_atom_site_fract_x
_atom_site_fract_y
_atom_site_fract_z
_atom_site_occupancy
Li1 0.0000 0.0000 0.0000 1
Pt1 0.5000 0.5000 0.2172 1
Au1 0.0000 0.0000 0.4806 1
Au2 0.5000 0.5000 0.7614 1
```

=====

Entry 4:
A relaxed structure of Li2PtAu2. Source: the Alexandria database, functional GGA-PBE.

Geometry as CIF:
```
data_Li2PtAu2
_chemical_formula_sum 'Li4 Pt2 Au4'
_cell_length_a 3.8733
_cell_length_b 3.8733
_cell_length_c 10.4082
_cell_angle_alpha 90.00
_cell_angle_beta 90.00
_cell_angle_gamma 90.00
_space_group_name_H-M_alt 'I 4/m m m'
_space_group_IT_number 139
_space_group_name_Hall '-I 4 2'
loop_
_atom_site_label
_atom_site_fract_x
_atom_site_fract_y
_atom_site_fract_z
_atom_site_occupancy
Li1 0.0000 0.0000 0.0974 1
Pt1 0.0000 0.0000 0.5000 1
Au1 0.0000 0.5000 0.2500 1
```

=====

Entry 5:
A relaxed structure of LiPt2Au. Source: the Alexandria database, functional GGA-PBE.

Geometry as CIF:
```
data_LiPt2Au
_chemical_formula_sum 'Li2 Pt4 Au2'
_cell_length_a 3.8852
_cell_length_b 3.8852
_cell_length_c 8.2413
_cell_angle_alpha 90.00
_cell_angle_beta 90.00
_cell_angle_gamma 90.00
_space_group_name_H-M_alt 'I 4/m m m'
_space_group_IT_number 139
_space_group_name_Hall '-I 4 2'
loop_
_atom_site_label
_atom_site_fract_x
_atom_site_fract_y
_atom_site_fract_z
_atom_site_occupancy
Li1 0.0000 0.0000 0.0000 1
Pt1 0.0000 0.5000 0.2500 1
Au1 0.0000 0.0000 0.5000 1
```

=====

Entry 6:
A relaxed structure of Li2Pt2Au. Source: the Alexandria database, functional GGA-PBE.

Geometry as CIF:
```
data_Li2Pt2Au
_chemical_formula_sum 'Li4 Pt4 Au2'
_cell_length_a 7.1993
_cell_length_b 7.1993
_cell_length_c 2.7708
_cell_angle_alpha 90.00
_cell_angle_beta 90.00
_cell_angle_gamma 90.00
_space_group_name_H-M_alt 'P 4/m b m'
_space_group_IT_number 127
_space_group_name_Hall '-P 4 2ab'
loop_
_atom_site_label
_atom_site_fract_x
_atom_site_fract_y
_atom_site_fract_z
_atom_site_occupancy
Li1 0.1192 0.3808 0.0000 1
Pt1 0.1787 0.6787 0.5000 1
Au1 0.0000 0.0000 0.0000 1
```

=====

Entry 7:
A relaxed structure of Li2Pt2Au. Source: the Alexandria database, functional GGA-PBE.

Geometry as CIF:
```
data_Li2Pt2Au
_chemical_formula_sum 'Li4 Pt4 Au2'
_cell_length_a 4.5643
_cell_length_b 4.5643
_cell_length_c 7.9767
_cell_angle_alpha 90.00
_cell_angle_beta 90.00
_cell_angle_gamma 90.00
_space_group_name_H-M_alt 'I 4/m m m'
_space_group_IT_number 139
_space_group_name_Hall '-I 4 2'
loop_
_atom_site_label
_atom_site_fract_x
_atom_site_fract_y
_atom_site_fract_z
_atom_site_occupancy
Li1 0.0000 0.5000 0.2500 1
Pt1 0.0000 0.0000 0.1569 1
Au1 0.0000 0.0000 0.5000 1
```

=====

Entry 8:
A relaxed structure of LiPtAu2. Source: the Alexandria database, functional GGA-PBE.

Geometry as CIF:
```
data_LiPtAu2
_chemical_formula_sum 'Li2 Pt2 Au4'
_cell_length_a 9.3934
_cell_length_b 2.8475
_cell_length_c 4.9622
_cell_angle_alpha 90.00
_cell_angle_beta 98.23
_cell_angle_gamma 90.00
_space_group_name_H-M_alt 'C 1 2/m 1'
_space_group_IT_number 12
_space_group_name_Hall '-C 2y'
loop_
_atom_site_label
_atom_site_fract_x
_atom_site_fract_y
_atom_site_fract_z
_atom_site_occupancy
Li1 0.0000 0.0000 0.0000 1
Pt1 0.0000 0.5000 0.5000 1
Au1 0.2443 0.0000 0.7520 1
```

=====

Electronic total energy for every record listed, in sequence, given in eV per atom: -4.618 -3.198 -3.866 -3.394 -4.598 -4.143 -3.811 -3.895.
Energy of formation for every record listed, in sequence, given in eV/atom: -0.30 -0.41 -0.24 -0.11 -0.28 -0.31 0.03 -0.27.